BeP3Rh | GGA-PBE | relaxed

The structure in POSCAR format:
```
BeP3Rh
1.0
4.589 0.000 0.000
0.000 4.589 0.000
0.000 0.000 4.589
P Rh Be
3 1 1
Direct
0.000 0.500 0.000
0.000 0.000 0.500
0.500 0.000 0.000
0.000 0.000 0.000
0.500 0.500 0.500
```

calculated total energy	-4.415	eV/atom
total magnetization	0.0	Bohr magnetons per cell
space group	Pm-3m, No. 221
formation enthalpy at 0 K	5.2	eV per formula unit
N(E_F)	1.20	states/eV per atom
ΔE to the lowest computed polymorph	0.385	eV per atom